<one>
The following is a DFT calculation (PBE-GGA) of a relaxed structure of Hf2BeC.

Theoretical density, Mg/m³: 10.14
Crystal system: tetragonal

```
8
Lattice="6.323 0.000 0.000 0.000 6.323 0.000 3.161 3.161 3.096" Properties=species:S:1:pos:R:3 pbc="T T T"
Be 3.161 6.323 1.548
Be 3.161 3.161 0.000
C 0.000 0.000 0.000
C 6.323 3.161 1.548
Hf 1.301 4.742 0.774
Hf 4.742 4.463 2.322
Hf 5.021 1.581 0.774
Hf 7.903 8.182 2.322
```



<two>
The following is a DFT calculation (PBE-GGA) of a relaxed structure of Hf2BeC.

Theoretical density, Mg/m³: 10.78
Crystal system: trigonal

```
4
Lattice="-2.443 2.108 0.639 -3.057 -0.670 -1.012 -2.964 -2.455 5.235" Properties=species:S:1:pos:R:3 pbc="T T T"
Hf -6.300 -0.640 3.421
Hf -2.163 -0.378 1.441
C -4.232 -0.509 2.431
Be 0.000 0.000 0.000
```



<three>
The following is a DFT calculation (PBE-GGA) of a relaxed structure of Hf2BeC.

Theoretical density, Mg/m³: 11.15
Crystal system: orthorhombic

```
8
Lattice="-2.018 2.445 1.280 0.871 -0.903 3.097 7.092 6.801 -1.815" Properties=species:S:1:pos:R:3 pbc="T T T"
C 3.570 5.304 2.344
C 2.375 3.040 0.218
Hf 0.674 1.605 0.278
Hf 4.104 4.499 0.157
Hf 1.841 3.845 2.405
Hf 5.271 6.739 2.284
Be -0.610 1.777 2.492
Be 6.555 6.567 0.071
```



Of them, <one> has the lowest stability.



<one>
The following is a DFT calculation (PBE-GGA) of a relaxed structure of BeHg2C.

Theoretical density, Mg/m³: 8.97
Crystal system: tetragonal

```
8
Lattice="5.180 0.000 0.000 0.000 5.180 0.000 2.590 2.590 5.824" Properties=species:S:1:pos:R:3 pbc="T T T"
Be 2.590 2.590 0.000
Be 2.590 5.180 2.912
Hg 6.476 6.720 4.368
Hg 3.885 3.641 4.368
Hg 4.130 1.295 1.456
Hg 1.050 3.885 1.456
C 5.180 2.590 2.912
C 0.000 0.000 0.000
```



<two>
The following is a DFT calculation (PBE-GGA) of a relaxed structure of BeHg2C.

Theoretical density, Mg/m³: 11.43
Crystal system: cubic

```
4
Lattice="0.000 3.130 3.130 3.130 0.000 3.130 3.130 3.130 0.000" Properties=species:S:1:pos:R:3 pbc="T T T"
Hg 4.695 4.695 4.695
Hg 1.565 1.565 1.565
C 3.130 3.130 3.130
Be 0.000 0.000 0.000
```



Of them, <two> has the lowest stability.



<one>
The following is a DFT calculation (PBE-GGA) of a relaxed structure of Be2HgC2.

Theoretical density, Mg/m³: 6.64
Crystal system: tetragonal

```
10
Lattice="-2.502 -1.176 5.829 5.861 -1.557 2.201 0.454 2.779 0.756" Properties=species:S:1:pos:R:3 pbc="T T T"
Be 1.964 -0.734 1.520
Be 4.222 -1.829 4.188
Be 1.395 -1.999 6.510
Be -0.863 -0.904 3.842
C 4.195 -0.726 5.772
C 3.415 0.401 2.095
C 0.398 -0.355 6.690
C -0.381 0.772 3.014
Hg 1.679 -1.367 4.015
Hg 0.000 0.000 0.000
```



<two>
The following is a DFT calculation (PBE-GGA) of a relaxed structure of Be2HgC2.

Theoretical density, Mg/m³: 7.58
Crystal system: tetragonal

```
5
Lattice="-0.789 2.168 1.550 -2.458 0.033 -1.296 -4.172 -3.204 4.851" Properties=species:S:1:pos:R:3 pbc="T T T"
Be -2.456 -0.306 1.670
Be -4.962 -0.698 3.434
C -4.127 -1.036 1.841
C -3.292 0.032 3.264
Hg 0.000 0.000 0.000
```



Of them, <one> has the lowest stability.



<one>
The following is a DFT calculation (PBE-GGA) of a relaxed structure of BeHgC3.

Theoretical density, Mg/m³: 5.14
Crystal system: cubic

```
5
Lattice="-3.536 -1.767 1.686 1.698 -3.911 -0.538 1.756 0.224 3.916" Properties=species:S:1:pos:R:3 pbc="T T T"
Be -0.041 -2.727 2.532
C -1.768 -0.884 0.843
C 0.878 0.112 1.958
C 0.849 -1.956 -0.269
Hg 0.000 0.000 0.000
```



<two>
The following is a DFT calculation (PBE-GGA) of a relaxed structure of BeHgC3.

Theoretical density, Mg/m³: 7.53
Crystal system: cubic

```
5
Lattice="3.783 0.000 0.000 0.000 3.783 0.000 0.000 0.000 3.783" Properties=species:S:1:pos:R:3 pbc="T T T"
Hg 1.891 1.891 1.891
C 0.000 1.891 0.000
C 1.891 0.000 0.000
C 0.000 0.000 1.891
Be 0.000 0.000 0.000
```



Of them, <one> has the lowest stability.



<one>
The following is a DFT calculation (PBE-GGA) of a relaxed structure of Be3CI.

Theoretical density, Mg/m³: 2.64
Crystal system: cubic

```
5
Lattice="-3.672 2.639 1.316 0.257 -1.808 4.341 2.938 3.457 1.266" Properties=species:S:1:pos:R:3 pbc="T T T"
I 0.000 0.000 0.000
Be 1.469 1.728 0.633
Be -1.836 1.319 0.658
Be 0.128 -0.904 2.171
C -0.239 2.144 3.462
```



<two>
The following is a DFT calculation (PBE-GGA) of a relaxed structure of Be3CI.

Theoretical density, Mg/m³: 4.64
Crystal system: cubic

```
5
Lattice="3.900 0.000 0.000 0.000 3.900 0.000 0.000 0.000 3.900" Properties=species:S:1:pos:R:3 pbc="T T T"
Be 0.000 0.000 1.950
Be 1.950 0.000 0.000
Be 0.000 1.950 0.000
C 0.000 0.000 0.000
I 1.950 1.950 1.950
```



Of them, <one> has the lowest stability.



<one>
The following is a DFT calculation (PBE-GGA) of a relaxed structure of BeCI2N.

Theoretical density, Mg/m³: 5.06
Crystal system: tetragonal

```
5
Lattice="-3.477 -3.767 1.956 -1.686 -1.094 -5.106 2.236 -2.202 -0.267" Properties=species:S:1:pos:R:3 pbc="T T T"
Be 0.000 0.000 0.000
I -1.739 -1.884 0.978
I -0.843 -0.547 -2.553
C -1.464 -3.531 -1.709
N 1.118 -1.101 -0.133
```



<two>
The following is a DFT calculation (PBE-GGA) of a relaxed structure of BeCI2N.

Theoretical density, Mg/m³: 3.20
Crystal system: tetragonal

```
5
Lattice="7.559 0.000 0.000 0.000 7.559 0.000 0.000 0.000 2.624" Properties=species:S:1:pos:R:3 pbc="T T T"
Be 3.779 3.779 1.312
N 0.000 0.000 1.312
C 0.000 0.000 0.000
I 3.779 0.000 0.000
I 0.000 3.779 0.000
```



Of them, <one> has the lowest stability.



<one>
The following is a DFT calculation (PBE-GGA) of a relaxed structure of Sc2BeInC.

Theoretical density, Mg/m³: 3.17
Crystal system: tetragonal

```
5
Lattice="5.278 0.000 0.000 0.000 4.251 0.000 0.000 0.000 5.278" Properties=species:S:1:pos:R:3 pbc="T T T"
Sc 0.000 0.000 2.639
Sc 2.639 0.000 0.000
Be 0.000 2.126 0.000
In 0.000 0.000 0.000
C 2.639 2.126 2.639
```



<two>
The following is a DFT calculation (PBE-GGA) of a relaxed structure of Sc2BeInC.

Theoretical density, Mg/m³: 4.67
Crystal system: tetragonal

```
5
Lattice="4.739 0.000 0.000 0.000 4.739 0.000 0.000 0.000 3.573" Properties=species:S:1:pos:R:3 pbc="T T T"
C 0.000 0.000 0.000
In 2.370 2.370 1.787
Sc 2.370 0.000 0.000
Sc 0.000 2.370 0.000
Be 0.000 0.000 1.787
```



Of them, <one> has the lowest stability.



<one>
The following is a DFT calculation (PBE-GGA) of a relaxed structure of KBe3C.

Theoretical density, Mg/m³: 0.52
Crystal system: cubic

```
5
Lattice="-2.778 5.160 -2.268 0.813 -2.135 -5.854 -5.578 -2.881 0.276" Properties=species:S:1:pos:R:3 pbc="T T T"
K 0.000 0.000 0.000
Be -2.789 -1.441 0.138
Be -1.389 2.580 -1.134
Be 0.407 -1.068 -2.927
C -3.771 0.072 -3.923
```



<two>
The following is a DFT calculation (PBE-GGA) of a relaxed structure of KBe3C.

Theoretical density, Mg/m³: 2.20
Crystal system: cubic

```
5
Lattice="-1.316 -0.183 -3.657 -1.612 -3.460 0.753 -3.287 1.770 1.095" Properties=species:S:1:pos:R:3 pbc="T T T"
Be -0.806 -1.730 0.376
Be -1.644 0.885 0.547
Be -0.658 -0.091 -1.828
K -3.108 -0.936 -0.905
C 0.000 0.000 0.000
```



Of them, <one> has the lowest stability.



<one>
The following is a DFT calculation (PBE-GGA) of a relaxed structure of KBeC3.

Theoretical density, Mg/m³: 2.42
Crystal system: cubic

```
5
Lattice="3.865 0.000 0.000 0.000 3.865 0.000 0.000 0.000 3.865" Properties=species:S:1:pos:R:3 pbc="T T T"
C 1.932 0.000 0.000
C 0.000 0.000 1.932
C 0.000 1.932 0.000
Be 0.000 0.000 0.000
K 1.932 1.932 1.932
```



<two>
The following is a DFT calculation (PBE-GGA) of a relaxed structure of KBeC3.

Theoretical density, Mg/m³: 1.47
Crystal system: cubic

```
5
Lattice="-2.144 1.895 -3.551 -3.630 0.828 2.633 1.739 4.064 1.119" Properties=species:S:1:pos:R:3 pbc="T T T"
C -1.072 0.947 -1.776
C -1.815 0.414 1.316
C 0.869 2.032 0.560
K 0.000 0.000 0.000
Be -2.018 3.393 0.100
```



Of them, <two> has the lowest stability.



<one>
The following is a DFT calculation (PBE-GGA) of a relaxed structure of LaBeC3.

Theoretical density, Mg/m³: 3.47
Crystal system: cubic

```
5
Lattice="4.447 0.000 0.000 0.000 4.447 0.000 0.000 0.000 4.447" Properties=species:S:1:pos:R:3 pbc="T T T"
C 0.000 0.000 2.223
C 2.223 0.000 0.000
C 0.000 2.223 0.000
Be 2.223 2.223 2.223
La 0.000 0.000 0.000
```



<two>
The following is a DFT calculation (PBE-GGA) of a relaxed structure of LaBeC3.

Theoretical density, Mg/m³: 5.39
Crystal system: cubic

```
5
Lattice="-1.137 -2.715 -2.468 0.997 -2.715 2.527 -3.531 0.107 1.508" Properties=species:S:1:pos:R:3 pbc="T T T"
La -1.835 -2.661 0.784
C 0.499 -1.357 1.264
C -0.568 -1.357 -1.234
C -1.765 0.054 0.754
Be 0.000 0.000 0.000
```



Of them, <one> has the lowest stability.



<one>
The following is a DFT calculation (PBE-GGA) of a relaxed structure of LaBeC.

Theoretical density, Mg/m³: 5.28
Crystal system: orthorhombic

```
12
Lattice="-2.306 2.280 0.473 -2.034 -0.970 -5.243 -6.609 -7.503 3.953" Properties=species:S:1:pos:R:3 pbc="T T T"
C -5.830 -1.865 -2.404
C -5.119 -4.328 1.587
C -8.904 -5.507 0.168
C -2.045 -0.687 -0.985
La -4.003 0.084 -2.894
La -3.493 -2.455 0.483
La -6.946 -6.277 2.077
La -7.456 -3.738 -1.301
Be -7.891 -6.720 -0.397
Be -4.558 -2.955 -2.300
Be -3.058 0.527 -0.421
Be -6.391 -3.238 1.483
```



<two>
The following is a DFT calculation (PBE-GGA) of a relaxed structure of LaBeC.

Theoretical density, Mg/m³: 6.32
Crystal system: hexagonal

```
3
Lattice="4.209 0.000 0.000 0.000 3.394 0.000 0.000 -1.697 2.940" Properties=species:S:1:pos:R:3 pbc="T T T"
Be 0.702 0.000 0.000
C 0.702 1.697 0.980
La 2.806 0.000 1.960
```



<three>
The following is a DFT calculation (PBE-GGA) of a relaxed structure of LaBeC.

Theoretical density, Mg/m³: 5.47
Crystal system: orthorhombic

```
12
Lattice="-4.135 -3.347 -0.526 2.230 -1.986 -4.897 3.168 -4.422 3.235" Properties=species:S:1:pos:R:3 pbc="T T T"
Be 0.619 -7.330 1.027
Be 0.643 -2.424 -3.215
Be -1.328 -4.795 0.208
Be 2.591 -4.959 -2.395
La -0.666 -5.197 -2.444
La 1.929 -4.558 0.257
La -0.180 -1.880 -0.209
La 1.442 -7.875 -1.978
C 3.436 -6.143 -1.504
C 1.506 -3.624 -2.362
C -2.173 -3.612 -0.683
C -0.243 -6.131 0.175
```



<four>
The following is a DFT calculation (PBE-GGA) of a relaxed structure of LaBeC.

Theoretical density, Mg/m³: 5.35
Crystal system: orthorhombic

```
12
Lattice="-2.091 1.589 2.079 1.841 -2.897 4.067 7.806 7.707 1.958" Properties=species:S:1:pos:R:3 pbc="T T T"
La 2.483 2.892 1.636
La 5.891 6.674 4.871
La 5.072 3.507 6.468
La 1.664 -0.275 3.233
C 4.586 2.040 4.401
C 7.549 6.522 6.653
C 0.007 -0.123 1.450
C 2.970 4.359 3.702
Be 4.608 3.502 3.307
Be 2.947 2.897 4.797
Be -0.951 1.405 2.017
Be 8.507 4.994 6.087
```



Of them, <one> has the lowest stability.



<one>
The following is a DFT calculation (PBE-GGA) of a relaxed structure of Li2BeC.

Theoretical density, Mg/m³: 1.82
Crystal system: cubic

```
4
Lattice="0.000 2.518 2.518 2.518 0.000 2.518 2.518 2.518 0.000" Properties=species:S:1:pos:R:3 pbc="T T T"
Be 0.000 0.000 0.000
C 2.518 2.518 2.518
Li 1.259 1.259 1.259
Li 3.776 3.776 3.776
```



<two>
The following is a DFT calculation (PBE-GGA) of a relaxed structure of Li2BeC.

Theoretical density, Mg/m³: 1.01
Crystal system: tetragonal

```
8
Lattice="8.390 0.000 0.000 0.000 8.390 0.000 4.195 4.195 1.633" Properties=species:S:1:pos:R:3 pbc="T T T"
C 0.000 0.000 0.000
C 8.390 4.195 0.817
Be 4.195 8.390 0.817
Be 4.195 4.195 0.000
Li 6.292 4.201 1.225
Li 10.487 4.189 1.225
Li 8.396 6.292 0.408
Li 8.384 2.097 0.408
```



Of them, <one> has the lowest stability.